The following is a DFT calculation (GGA-PBE) of a geometry-optimized TmHfCoNi structure.

a b c (Å): 4.571 4.571 4.571
angles (deg): 60.00 60.00 60.00
Site moments in Bohr magnetons follow the coordinates.
Atoms (fractional coordinates):
Ni  0.250  0.250  0.250  0.05
Tm  0.000  0.000  0.000  -0.05
Hf  0.500  0.500  0.500  -0.06
Co  0.750  0.750  0.750  0.54

Calculated values
energy = -7.17 eV per atom
symmetry = F-43m (216)
total moment = 0.5 μB/f.u.
energy relative to the elements = -339 meV per atom

The following is a DFT calculation (GGA-PBE) of a geometry-optimized HfVCoNi structure.

a b c (Å): 4.315 4.315 4.315
angles (deg): 60.00 60.00 60.00
Site moments in Bohr magnetons follow the coordinates.
Atoms (fractional coordinates):
Ni  0.500  0.500  0.500  0.29
V  0.250  0.250  0.250  1.32
Hf  0.750  0.750  0.750  -0.01
Co  0.000  0.000  0.000  0.87

Calculated values
energy = -8.15 eV per atom
symmetry = F-43m (216)
total moment = 2.6 μB/f.u.
energy relative to the elements = -158 meV per atom

The following is a DFT calculation (GGA-PBE) of a geometry-optimized YHfCoNi structure.

a b c (Å): 4.617 4.617 4.617
angles (deg): 60.00 60.00 60.00
Site moments in Bohr magnetons follow the coordinates.
Atoms (fractional coordinates):
Y  0.750  0.750  0.750  -0.04
Ni  0.500  0.500  0.500  0.04
Hf  0.250  0.250  0.250  -0.07
Co  0.000  0.000  0.000  0.59

Calculated values
energy = -7.58 eV per atom
symmetry = F-43m (216)
total moment = 0.5 μB/f.u.
energy relative to the elements = -259 meV per atom

The following is a DFT calculation (GGA-PBE) of a geometry-optimized HfZnCoNi2 structure.

a b c (Å): 4.299 4.330 4.299
angles (deg): 90.00 90.00 90.00
Site moments in Bohr magnetons follow the coordinates.
Atoms (fractional coordinates):
Ni  0.000  0.000  0.500  0.78
Ni  0.500  0.000  0.000  0.49
Zn  0.000  0.500  0.000  0.01
Hf  0.500  0.500  0.500  0.07
Co  0.000  0.000  0.000  1.58

Calculated values
energy = -5.45 eV per atom
symmetry = P4/mmm (123)
total moment = 2.9 μB/f.u.
energy relative to the elements = 529 meV per atom

The following is a DFT calculation (GGA-PBE) of a geometry-optimized HfNpCo2 structure.

a b c (Å): 3.055 4.636 4.636
angles (deg): 90.00 90.00 90.00
Site moments in Bohr magnetons follow the coordinates.
Atoms (fractional coordinates):
Np  0.500  0.000  0.000  3.43
Co  0.000  0.000  0.500  -0.68
Co  0.000  0.500  0.000  -0.68
Hf  0.500  0.500  0.500  0.12

Calculated values
energy = -9.33 eV per atom
symmetry = P4/mmm (123)
total moment = 2.4 μB/f.u.
energy relative to the elements = -58 meV per atom

Q: Which of these has the lowest energy?
A: HfNpCo2

Q: Which of these has the highest energy relative to the elements?
A: HfZnCoNi2